Here is a relaxed structure of CdSi2P from Alexandria. Energies are from PBE-GGA.

a = 3.1528 Å, b = 3.1520 Å, c = 6.9626 Å
α = 90.00°, β = 90.00°, γ = 90.00°
Atoms (fractional coordinates):
Si 0.0000 0.0000 0.9359
Si 0.0000 0.0000 0.5641
Cd 0.5000 0.5000 0.2500
P 0.5000 0.5000 0.7500

Summary:
Energy above the lowest structure with this stoichiometry: 0.3695 eV per atom
Formation energy (no corrections): 1.7 eV/f.u.



Here is a relaxed structure of Ta2W from Alexandria. Energies are from PBE-GGA.

a = 4.9756 Å, b = 4.9756 Å, c = 4.9756 Å
α = 148.32°, β = 121.26°, γ = 68.29°
Atoms (fractional coordinates):
Ta 0.3220 0.8220 0.5000
Ta 0.6780 0.1780 0.5000
W 0.0000 0.0000 0.0000

Summary:
Energy above the lowest structure with this stoichiometry: 0.4728 eV per atom



Here is a relaxed structure of LiCa2W from Alexandria. Energies are from PBE-GGA.

a = 3.0400 Å, b = 3.0400 Å, c = 10.6781 Å
α = 90.00°, β = 90.00°, γ = 93.51°
Atoms (fractional coordinates):
Ca 0.0000 0.0000 0.9717
Ca 0.0000 0.0000 0.5283
Li 0.5000 0.5000 0.2500
W 0.5000 0.5000 0.7500

Summary:
Energy above the lowest structure with this stoichiometry: 0.0000 eV per atom



Here is a relaxed structure of Bi2Ir2Pt from Alexandria. Energies are from PBE-GGA.

a = 7.0578 Å, b = 7.0578 Å, c = 4.0876 Å
α = 90.00°, β = 90.00°, γ = 90.00°
Atoms (fractional coordinates):
Ir 0.6342 0.1342 0.0000
Ir 0.8658 0.6342 0.0000
Ir 0.3658 0.8658 0.0000
Ir 0.1342 0.3658 0.0000
Bi 0.8276 0.3276 0.5000
Bi 0.1724 0.6724 0.5000
Bi 0.3276 0.1724 0.5000
Bi 0.6724 0.8276 0.5000
Pt 0.5000 0.5000 0.0000
Pt 0.0000 0.0000 0.0000

Summary:
Calculated total energy: -6.0236 eV/atom



What did the first record say?
Here is a relaxed structure of CdSi2P from Alexandria. Energies are from PBE-GGA.

a = 3.1528 Å, b = 3.1520 Å, c = 6.9626 Å
α = 90.00°, β = 90.00°, γ = 90.00°
Atoms (fractional coordinates):
Si 0.0000 0.0000 0.9359
Si 0.0000 0.0000 0.5641
Cd 0.5000 0.5000 0.2500
P 0.5000 0.5000 0.7500

Summary:
Energy above the lowest structure with this stoichiometry: 0.3695 eV per atom
Formation energy (no corrections): 1.7 eV/f.u.